VASP calculation (GGA-PBE) on an optimized crystal structure of Ti2Rh2Au.

Cell: 7.3164 7.3164 2.9695 Å, 90.00 90.00 90.00°
Closest atoms and distances in Å follow each position.
Element x y z (fractional)
Ti  0.1625  0.6625  0.5000  6 Rh 2.56-2.65
Ti  0.6625  0.8375  0.5000  6 Rh 2.56-2.65
Ti  0.3375  0.1625  0.5000  6 Rh 2.56-2.65
Ti  0.8375  0.3375  0.5000  6 Rh 2.56-2.65
Rh  0.3639  0.8639  0.0000  6 Ti 2.56-2.65, 1 Rh 2.82, 2 Au 2.84
Rh  0.1361  0.3639  0.0000  6 Ti 2.56-2.65, 1 Rh 2.82, 2 Au 2.84
Rh  0.6361  0.1361  0.0000  6 Ti 2.56-2.65, 1 Rh 2.82, 2 Au 2.84
Rh  0.8639  0.6361  0.0000  6 Ti 2.56-2.65, 1 Rh 2.82, 2 Au 2.84
Au  0.0000  0.0000  0.0000  4 Rh 2.84, 2 Au 2.97, 8 Ti 3.12
Au  0.5000  0.5000  0.0000  4 Rh 2.84, 2 Au 2.97, 8 Ti 3.12

Summary:
* ΔE to the lowest computed polymorph: 0.0000 eV per atom
* volume: 15.9 A^3/atom
* calculated formation energy: -0.63 eV/atom

VASP calculation (GGA-PBE) on an optimized crystal structure of Ti3Rh4Au.

Cell: 4.2406 6.7797 8.4815 Å, 90.00 90.00 90.00°
Closest atoms and distances in Å follow each position.
Element x y z (fractional)
Au  0.0000  0.5000  0.0000  8 Rh 2.82, 4 Ti 3.00
Au  0.0000  0.5000  0.5000  8 Rh 2.82, 4 Ti 3.00
Rh  0.5000  0.7744  0.5000  6 Ti 2.61-2.82, 2 Au 2.82
Rh  0.5000  0.2256  0.0000  6 Ti 2.61-2.82, 2 Au 2.82
Rh  0.0001  0.7743  0.2500  6 Ti 2.61-2.82, 2 Au 2.82
Rh  0.5000  0.2256  0.5000  6 Ti 2.61-2.82, 2 Au 2.82
Rh  0.0001  0.2257  0.2500  6 Ti 2.61-2.82, 2 Au 2.82
Rh  0.9998  0.2257  0.7500  6 Ti 2.61-2.82, 2 Au 2.82
Rh  0.5000  0.7744  0.0000  6 Ti 2.61-2.82, 2 Au 2.82
Rh  0.9998  0.7743  0.7500  6 Ti 2.61-2.82, 2 Au 2.82
Ti  0.0000  0.0000  0.0000  8 Rh 2.61
Ti  0.0000  0.0000  0.5000  8 Rh 2.61
Ti  0.5000  0.0000  0.7500  8 Rh 2.61-2.62
Ti  0.5000  0.0000  0.2500  8 Rh 2.61-2.62
Ti  0.4998  0.5000  0.7500  8 Rh 2.82, 4 Au 3.00
Ti  0.5002  0.5000  0.2500  8 Rh 2.82, 4 Au 3.00

Summary:
* volume: 15.2 A^3/atom
* calculated formation energy: -0.66 eV/atom

VASP calculation (GGA-PBE) on an optimized crystal structure of TiRhAu.

Cell: 3.8916 4.1358 6.3136 Å, 90.00 107.90 89.99°
Closest atoms and distances in Å follow each position.
Element x y z (fractional)
Ti  0.1763  0.3664  0.6445  4 Rh 2.54-2.66
Ti  0.9509  0.8665  0.1947  4 Rh 2.54-2.66
Au  0.6426  0.8665  0.5757  2 Au 2.79, 4 Rh 2.85-2.91, 6 Ti 2.87-3.01
Au  0.4846  0.3665  0.2635  2 Au 2.79, 4 Rh 2.85-2.91, 6 Ti 2.87-3.01
Rh  0.8121  0.3665  0.9169  4 Ti 2.54-2.66, 4 Rh 2.84
Rh  0.3150  0.8665  0.9223  4 Ti 2.54-2.66, 4 Rh 2.84

Summary:
* ΔE to the lowest computed polymorph: 0.0152 eV per atom
* volume: 16.1 A^3/atom
* calculated formation energy: -0.55 eV/atom

VASP calculation (GGA-PBE) on an optimized crystal structure of Ti3RhAu.

Cell: 3.0459 7.0186 8.8882 Å, 90.00 90.00 102.51°
Closest atoms and distances in Å follow each position.
Element x y z (fractional)
Ti  0.6667  0.3329  0.4672  2 Rh 2.57, 2 Au 2.76, 2 Ti 2.81
Ti  0.3333  0.6671  0.9672  2 Rh 2.57, 2 Au 2.76, 2 Ti 2.81
Ti  0.3333  0.6671  0.5328  2 Rh 2.57, 2 Au 2.76, 2 Ti 2.81
Ti  0.6667  0.3329  0.0328  2 Rh 2.57, 2 Au 2.76, 2 Ti 2.81
Ti  0.1326  0.2649  0.7500  2 Rh 2.52-2.53
Ti  0.8674  0.7351  0.2500  2 Rh 2.52-2.53
Au  0.0000  0.0000  0.0000  6 Ti 2.76-2.87, 2 Au 3.05
Au  0.0000  0.0000  0.5000  6 Ti 2.76-2.87, 2 Au 3.05
Rh  0.2209  0.4412  0.2500  6 Ti 2.52-2.57
Rh  0.7791  0.5588  0.7500  6 Ti 2.52-2.57

Summary:
* ΔE to the lowest computed polymorph: 0.0000 eV per atom
* volume: 18.6 A^3/atom
* calculated formation energy: -0.24 eV/atom